1.
Density functional theory data (GGA-PBE) for crystalline ScNi6Ir at its relaxed geometry.

total moment = 3.8 μB per cell
formation energy = -174 meV/atom

```
ScNi6Ir
1.0
3.642 -5.203 0.000
3.642 5.203 0.000
0.000 0.000 10.384
Sc Ni Ir
4 24 4
Direct
0.000 0.000 0.250 Sc
0.000 0.000 0.750 Sc
0.248 0.752 0.000 Sc
0.752 0.248 0.000 Sc
0.000 0.000 0.000 Ni
0.000 0.000 0.500 Ni
0.130 0.383 0.377 Ni
0.130 0.383 0.623 Ni
0.132 0.379 0.128 Ni
0.132 0.379 0.872 Ni
0.254 0.746 0.256 Ni
0.254 0.746 0.744 Ni
0.379 0.132 0.128 Ni
0.379 0.132 0.872 Ni
0.383 0.130 0.377 Ni
0.383 0.130 0.623 Ni
0.500 0.500 0.000 Ni
0.500 0.500 0.500 Ni
0.617 0.870 0.377 Ni
0.617 0.870 0.623 Ni
0.621 0.868 0.128 Ni
0.621 0.868 0.872 Ni
0.746 0.254 0.256 Ni
0.746 0.254 0.744 Ni
0.868 0.621 0.128 Ni
0.868 0.621 0.872 Ni
0.870 0.617 0.377 Ni
0.870 0.617 0.623 Ni
0.238 0.762 0.500 Ir
0.500 0.500 0.251 Ir
0.500 0.500 0.749 Ir
0.762 0.238 0.500 Ir
```


2.
Density functional theory data (GGA-PBE) for crystalline KTaPb at its relaxed geometry.

total moment = 1.8 μB per cell
formation energy = 879 meV/atom

```
KTaPb
1.0
-1.966 1.966 6.501
1.966 -1.966 6.501
1.966 1.966 -6.501
K Ta Pb
1 1 1
Direct
0.000 0.000 0.000 K
0.726 0.726 0.000 Ta
0.273 0.273 0.000 Pb
```


Relative energy among the computed polymorphs for the records above, in order: 0; 206 meV per atom